Entry 1:
A geometry-optimized IrPb2 structure. Source: Alexandria via LeMat-Bulk, functional GGA-PBE.

E, eV for the cell shown: -13.75
Symmetry: No. 191
ΔE_f, meV/atom: 841
Total moment, μB per cell: 0.000

Cell lengths 5.173, 5.173, 3.100 Å; angles 90.00, 90.00, 120.00 degrees
Sites, in units of the cell vectors:
1 Ir 0.000 0.000 0.000
2 Pb 0.333 0.667 0.500
3 Pb 0.667 0.333 0.500

=====

Entry 2:
A geometry-optimized YSi4Ni2Os structure. Source: Alexandria via LeMat-Bulk, functional GGA-PBE.

ΔE_f (raw), eV/atom: -0.44
E, eV for the cell shown: -54.47
Symmetry: No. 166
Total moment, μB per cell: 0.001

Cell lengths 8.909, 8.909, 8.909 Å; angles 25.75, 25.75, 25.75 degrees
Sites, in units of the cell vectors:
1 Y 0.000 0.000 0.000
2 Si 0.125 0.125 0.125
3 Si 0.402 0.402 0.402
4 Si 0.598 0.598 0.598
5 Si 0.875 0.875 0.875
6 Ni 0.233 0.233 0.233
7 Ni 0.767 0.767 0.767
8 Os 0.500 0.500 0.500

=====

Entry 3:
A geometry-optimized BaHgMo2 structure. Source: Alexandria via LeMat-Bulk, functional GGA-PBE.

E, eV for the cell shown: -20.82
Symmetry: No. 44
ΔE_f, meV/atom: 767
Total moment, μB per cell: 0.000

Cell lengths 6.242, 6.242, 6.242 Å; angles 149.10, 124.85, 64.57 degrees
Sites, in units of the cell vectors:
1 Ba 0.000 0.000 0.000
2 Hg 0.299 0.799 0.500
3 Mo 0.547 0.547 0.000
4 Mo 0.707 0.207 0.500

=====

Entry 4:
A geometry-optimized In2FeOs structure. Source: Alexandria via LeMat-Bulk, functional GGA-PBE.

E, eV for the cell shown: -23.24
Symmetry: No. 47
Energy above the most stable polymorph in this dataset, meV/atom: 152
ΔE_f, meV/atom: 481
Total moment, μB per cell: 2.479

Cell lengths 3.902, 4.161, 4.179 Å; angles 90.00, 90.00, 90.00 degrees
Sites, in units of the cell vectors:
1 In 0.000 0.000 0.000
2 In 0.000 0.500 0.500
3 Fe 0.500 0.000 0.500
4 Os 0.500 0.500 0.000

=====

Entry 5:
A geometry-optimized CdTcAs structure. Source: Alexandria via LeMat-Bulk, functional GGA-PBE.

E, eV for the cell shown: -31.99
Symmetry: No. 11
Energy above the most stable polymorph in this dataset, meV/atom: 13
ΔE_f, meV/atom: -22
Total moment, μB per cell: 0.000

Cell lengths 3.105, 4.591, 8.347 Å; angles 90.00, 100.32, 90.00 degrees
Sites, in units of the cell vectors:
1 Cd 0.069 0.250 0.118
2 Cd 0.931 0.750 0.882
3 Tc 0.277 0.750 0.556
4 Tc 0.723 0.250 0.444
5 As 0.337 0.250 0.682
6 As 0.663 0.750 0.318

=====

Entry 6:
A geometry-optimized TbHgPb structure. Source: Alexandria via LeMat-Bulk, functional GGA-PBE.

E, eV for the cell shown: -39.28
Symmetry: No. 62
ΔE_f, meV/atom: -393
Total moment, μB per cell: 0.000

Cell lengths 6.609, 4.955, 9.868 Å; angles 90.00, 90.00, 90.00 degrees
Sites, in units of the cell vectors:
1 Tb 0.199 0.250 0.090
2 Tb 0.301 0.750 0.590
3 Tb 0.699 0.250 0.410
4 Tb 0.801 0.750 0.910
5 Hg 0.203 0.250 0.415
6 Hg 0.297 0.750 0.915
7 Hg 0.703 0.250 0.085
8 Hg 0.797 0.750 0.585
9 Pb 0.029 0.250 0.741
10 Pb 0.471 0.750 0.241
11 Pb 0.529 0.250 0.759
12 Pb 0.971 0.750 0.259